A plane-wave DFT calculation with GGA-PBE was carried out for a geometry-optimized Sr2Mg17Ga3 structure.

Properties
The raw total energy comes out at -39.093 eV for the cell shown. The formation energy comes out at 0.02 eV per atom. For the theoretical density, the calculation gives 2.31 g/cm³.

Cell: 8.3540 8.3540 8.3540 Å, 83.50 83.50 83.50°
Closest atoms and distances in Å follow each position.
Element x y z (fractional)
Mg  0.3328  0.8311  0.3328  1 Ga 2.69
Mg  0.1689  0.6672  0.6672  1 Ga 2.69
Mg  0.2635  0.0000  0.7365  1 Ga 2.63, 2 Mg 2.93
Mg  0.0000  0.0000  0.5000  10 Mg 3.12-3.39
Mg  0.0000  0.2635  0.7365  1 Ga 2.63, 2 Mg 2.93
Mg  0.9001  0.9001  0.9001  13 Mg 3.20-3.39
Mg  0.3328  0.3328  0.8311  1 Ga 2.69
Mg  0.2635  0.7365  0.0000  1 Ga 2.63, 2 Mg 2.93
Mg  0.0000  0.7365  0.2635  1 Ga 2.63, 2 Mg 2.93
Mg  0.7365  0.0000  0.2635  1 Ga 2.63, 2 Mg 2.93
Mg  0.0000  0.5000  0.0000  10 Mg 3.12-3.39
Mg  0.8311  0.3328  0.3328  1 Ga 2.69
Mg  0.6672  0.6672  0.1689  1 Ga 2.69
Mg  0.7365  0.2635  0.0000  1 Ga 2.63, 2 Mg 2.93
Mg  0.5000  0.0000  0.0000  10 Mg 3.12-3.39
Mg  0.0999  0.0999  0.0999  13 Mg 3.20-3.39
Mg  0.6672  0.1689  0.6672  1 Ga 2.69
Ga  0.0000  0.5000  0.5000  4 Mg 2.63-2.69
Ga  0.5000  0.5000  0.0000  4 Mg 2.63-2.69
Ga  0.5000  0.0000  0.5000  4 Mg 2.63-2.69
Sr  0.6591  0.6591  0.6591  3 Ga 3.21
Sr  0.3409  0.3409  0.3409  3 Ga 3.21